No. 1
Crystalline LaTcTe2 at its relaxed geometry, computed with PBE.

Output
Total magnetic moment   0.000 μB/cell
DOS(E_F)   5.56 states/eV per cell
E   -24.5 eV/f.u.

Cell: 7.3164 4.0559 8.0583 Å, 90.00 91.29 90.00°
Closest atoms and distances in Å follow each position.
Atoms (fractional coordinates):
1 La 0.0000 0.0000 0.0000  1 Tc 3.23, 8 Te 3.26-3.53
2 La 0.4784 0.0000 0.5433  8 Te 3.32-3.68, 1 Tc 3.47
3 Tc 0.0268 0.0000 0.4011  2 Tc 2.41
4 Tc 0.0357 0.5000 0.5624  2 Tc 2.41, 2 Te 2.66
5 Te 0.2603 0.5000 0.2752  3 Tc 2.85-2.87
6 Te 0.2795 0.5000 0.8117  1 Tc 2.66
7 Te 0.7558 0.5000 0.7677  1 Tc 2.66
8 Te 0.7791 0.5000 0.2831  3 Tc 2.87-2.90



No. 2
Crystalline Pd2Pt3Rh3 at its relaxed geometry, computed with PBE.

Output
Total magnetic moment   0.009 μB/cell
DOS(E_F)   16.45 states/eV per cell
Formation energy   0.084 eV per formula unit
E   -50.5 eV/f.u.

Cell: 6.2077 6.2077 4.7819 Å, 104.94 104.94 127.00°
Closest atoms and distances in Å follow each position.
Atoms (fractional coordinates):
1 Pd 0.2488 0.7512 0.0000  5 Pt 2.76-2.79, 5 Rh 2.76-2.79, 2 Pd 2.77
2 Pd 0.7512 0.2488 0.0000  5 Pt 2.76-2.79, 5 Rh 2.76-2.79, 2 Pd 2.77
3 Pt 0.1256 0.8744 0.5000  4 Pd 2.76-2.77, 5 Rh 2.77-2.81, 3 Pt 2.77-2.79
4 Pt 0.5000 0.5000 0.0000  6 Rh 2.74-2.77, 4 Pt 2.77, 2 Pd 2.79
5 Pt 0.8744 0.1256 0.5000  4 Pd 2.76-2.77, 5 Rh 2.77-2.81, 3 Pt 2.77-2.79
6 Rh 0.0000 0.0000 0.0000  4 Rh 2.75, 2 Pd 2.76, 6 Pt 2.77
7 Rh 0.3789 0.6211 0.5000  3 Rh 2.69-2.75, 5 Pt 2.74-2.81, 4 Pd 2.78-2.79
8 Rh 0.6211 0.3789 0.5000  3 Rh 2.69-2.75, 5 Pt 2.74-2.81, 4 Pd 2.78-2.79



No. 3
Crystalline Er3Mg2Ga at its relaxed geometry, computed with PBE.

Output
Total magnetic moment   0.006 μB/cell
DOS(E_F)   6.68 states/eV per cell
Formation energy   -1.434 eV per formula unit
E   -21.3 eV/f.u.

Cell: 3.6576 3.6576 11.2488 Å, 90.00 90.00 90.00°
Closest atoms and distances in Å follow each position.
Atoms (fractional coordinates):
1 Er 0.0000 0.0000 0.0000  8 Mg 3.23
2 Er 0.0000 0.0000 0.3490  4 Ga 3.09, 4 Mg 3.26, 1 Er 3.40
3 Er 0.0000 0.0000 0.6510  4 Ga 3.09, 4 Mg 3.26, 1 Er 3.40
4 Mg 0.5000 0.5000 0.1718  8 Er 3.23-3.26
5 Mg 0.5000 0.5000 0.8282  8 Er 3.23-3.26
6 Ga 0.5000 0.5000 0.5000  8 Er 3.09